The following is a GGA-PBE calculation of crystalline Rb2BeHPb at its relaxed geometry, from Alexandria.

Cell lengths 8.2730, 3.3961, 8.2730 Å; angles 90.00, 90.00, 90.00 degrees
With the nearest neighbours (Å) after each atom.
Atoms (fractional coordinates):
H  0.0000  0.5000  0.0000  2 Be 1.70
Be  0.0000  0.0000  0.0000  2 H 1.70
Pb  0.5000  0.5000  0.5000  2 Pb 3.40
Rb  0.0000  0.0000  0.5000  2 Rb 3.40
Rb  0.5000  0.0000  0.0000  2 Rb 3.40

**Uncorrected energy**: -9.363 eV for the cell shown
**Size of the total moment**: 0.000 μB per atom
**Space group**: P4/mmm

=====

The following is a GGA-PBE calculation of crystalline BeSnHPb2 at its relaxed geometry, from Alexandria.

Cell lengths 5.7427, 3.2947, 5.7427 Å; angles 90.00, 90.00, 90.00 degrees
With the nearest neighbours (Å) after each atom.
Atoms (fractional coordinates):
H  0.0000  0.0000  0.0000  2 Be 1.65
Pb  0.5000  0.0000  0.0000  2 H 2.87
Pb  0.0000  0.0000  0.5000  2 H 2.87
Be  0.0000  0.5000  0.0000  2 H 1.65
Sn  0.5000  0.5000  0.5000  2 Sn 3.29, 8 Pb 3.31

**Uncorrected energy**: -16.187 eV for the cell shown
**Size of the total moment**: 0.000 μB per atom
**Space group**: P4/mmm

=====

The following is a GGA-PBE calculation of crystalline Sr2BeHPb at its relaxed geometry, from Alexandria.

Cell lengths 5.3566, 4.4683, 5.3566 Å; angles 90.00, 90.00, 90.00 degrees
With the nearest neighbours (Å) after each atom.
Atoms (fractional coordinates):
Be  0.5000  0.5000  0.5000  8 Sr 3.49, 4 Pb 3.79
Sr  0.5000  0.0000  0.0000  2 H 2.68
Sr  0.0000  0.0000  0.5000  2 H 2.68
Pb  0.0000  0.5000  0.0000  2 H 2.23
H  0.0000  0.0000  0.0000  2 Pb 2.23

**Uncorrected energy**: -13.663 eV for the cell shown
**Size of the total moment**: 0.000 μB per atom
**Space group**: P4/mmm

=====

The following is a GGA-PBE calculation of crystalline Be2H2Pd5 at its relaxed geometry, from Alexandria.

Cell lengths 5.3998, 5.5503, 7.8297 Å; angles 110.76, 110.17, 90.00 degrees
With the nearest neighbours (Å) after each atom.
Atoms (fractional coordinates):
Pd  0.8861  0.3237  0.1614  2 H 2.03-2.07, 1 Be 2.22
Pd  0.5623  0.1957  0.7245  2 H 1.92-2.04
Pd  0.2247  0.6623  0.8386  2 H 2.03-2.07, 1 Be 2.22
Pd  0.4377  0.4712  0.2755  2 H 1.92-2.04
Pd  0.7753  0.8237  0.1614  2 H 2.03-2.07, 1 Be 2.22
Pd  0.1449  0.7700  0.5000  2 H 1.90
Pd  0.3378  0.9712  0.2755  2 H 1.92-2.04
Pd  0.8551  0.2700  0.5000  2 H 1.90
Pd  0.1139  0.1623  0.8386  2 H 2.03-2.07, 1 Be 2.22
Pd  0.6622  0.6957  0.7245  2 H 1.92-2.04
H  0.3831  0.9344  0.7653  5 Pd 1.90-2.07
H  0.6169  0.1690  0.2347  5 Pd 1.90-2.07
H  0.1177  0.6690  0.2347  5 Pd 1.90-2.07
H  0.8823  0.4344  0.7653  5 Pd 1.90-2.07
Be  0.7280  0.8592  0.5000  6 Pd 2.31-2.48
Be  0.5000  0.4505  0.0000  6 Pd 2.22-2.29
Be  0.0000  0.9505  0.0000  6 Pd 2.22-2.29
Be  0.2720  0.3592  0.5000  6 Pd 2.31-2.48

**Uncorrected energy**: -84.408 eV for the cell shown
**Size of the total moment**: 0.000 μB per atom
**Space group**: Ima2

=====

The following is a GGA-PBE calculation of crystalline Be2HPd at its relaxed geometry, from Alexandria.

Cell lengths 3.7870, 3.7870, 3.7870 Å; angles 60.00, 60.00, 60.00 degrees
With the nearest neighbours (Å) after each atom.
Atoms (fractional coordinates):
Be  0.7500  0.7500  0.7500  4 Pd 2.32, 4 H 2.32
Be  0.2500  0.2500  0.2500  4 Pd 2.32, 4 H 2.32
Pd  0.5000  0.5000  0.5000  8 Be 2.32
H  0.0000  0.0000  0.0000  8 Be 2.32

**Uncorrected energy**: -14.521 eV for the cell shown
**E above lowest polymorph**: 384 meV/atom
**Size of the total moment**: 0.000 μB per atom
**Space group**: Fm-3m

=====

The following is a GGA-PBE calculation of crystalline Be2HPd at its relaxed geometry, from Alexandria.

Cell lengths 4.7725, 4.7725, 4.5520 Å; angles 58.38, 58.38, 90.00 degrees
With the nearest neighbours (Å) after each atom.
Atoms (fractional coordinates):
Be  0.4653  0.1250  0.2500  2 H 1.48
Be  0.3750  0.5347  0.7500  2 H 1.48
Be  0.8750  0.7153  0.7500  2 H 1.48
Be  0.2847  0.6250  0.2500  2 H 1.48
H  0.2500  0.7500  0.5000  4 Be 1.48
H  0.5000  0.5000  0.0000  4 Be 1.48
Pd  0.0000  0.0000  0.0000  8 Be 2.41-2.62
Pd  0.7500  0.2500  0.5000  8 Be 2.41-2.62

**Uncorrected energy**: -32.112 eV for the cell shown
**E above lowest polymorph**: 0 meV/atom
**Size of the total moment**: 0.000 μB per atom
**Space group**: I-42d

=====

The following is a GGA-PBE calculation of crystalline BeHPd3 at its relaxed geometry, from Alexandria.

Cell lengths 2.8157, 2.8157, 7.0532 Å; angles 90.00, 90.00, 90.01 degrees
With the nearest neighbours (Å) after each atom.
Atoms (fractional coordinates):
H  0.3639  0.1485  0.8860  6 Pd 1.99-2.15
Be  0.8635  0.6483  0.3859  8 Pd 2.42
Pd  0.3638  0.1485  0.1902  1 H 2.15
Pd  0.3638  0.1485  0.5817  1 H 2.15
Pd  0.8639  0.6486  0.8859  4 H 1.99

**Uncorrected energy**: -24.381 eV for the cell shown
**E above lowest polymorph**: 0 meV/atom
**Size of the total moment**: 0.000 μB per atom
**Space group**: P4/mmm

=====

The following is a GGA-PBE calculation of crystalline Be2HPd6 at its relaxed geometry, from Alexandria.

Cell lengths 2.8505, 6.3611, 6.6792 Å; angles 109.34, 102.32, 90.00 degrees
With the nearest neighbours (Å) after each atom.
Atoms (fractional coordinates):
Pd  0.3222  0.9096  0.6444  1 H 2.19, 2 Be 2.30
Pd  0.0055  0.2231  0.0109  2 H 2.00
Pd  0.6778  0.0904  0.3556  1 H 2.19, 2 Be 2.30
Pd  0.3635  0.3878  0.7269  3 Be 2.28-2.31
Pd  0.9945  0.7769  0.9891  2 H 2.00
Pd  0.6365  0.6122  0.2731  3 Be 2.28-2.31
Be  0.8126  0.6205  0.6253  6 Pd 2.24-2.31, 2 Be 2.31
Be  0.1874  0.3795  0.3747  6 Pd 2.24-2.31, 2 Be 2.31
H  0.5000  0.0000  0.0000  6 Pd 2.00-2.19

**Uncorrected energy**: -44.520 eV for the cell shown
**E above lowest polymorph**: 58 meV/atom
**Size of the total moment**: 0.000 μB per atom
**Space group**: C2/m

=====

The following is a GGA-PBE calculation of crystalline Be3H5Pd12 at its relaxed geometry, from Alexandria.

Cell lengths 10.6236, 10.6236, 10.6236 Å; angles 109.47, 109.47, 109.47 degrees
With the nearest neighbours (Å) after each atom.
Atoms (fractional coordinates):
Pd  0.3163  0.7920  0.4099  2 H 1.80-2.02
Pd  0.2080  0.5243  0.6179  2 H 1.80-2.02
Pd  0.5901  0.8821  0.4065  2 H 1.80-2.02
Pd  0.1179  0.4099  0.0935  2 H 1.80-2.02
Pd  0.9065  0.8163  0.5243  2 H 1.80-2.02
Pd  0.0935  0.9099  0.1179  2 H 1.80-2.02
Pd  0.9099  0.8163  0.7920  2 H 1.80-2.02
Pd  0.2920  0.8821  0.9757  2 H 1.80-2.02
Pd  0.7920  0.3163  0.9099  2 H 1.80-2.02
Pd  0.4099  0.1179  0.5935  2 H 1.80-2.02
Pd  0.3163  0.5243  0.4065  2 H 1.80-2.02
Pd  0.0243  0.6179  0.7080  2 H 1.80-2.02
Pd  0.1179  0.7080  0.5243  2 H 1.80-2.02
Pd  0.8163  0.9065  0.0243  2 H 1.80-2.02
Pd  0.2080  0.6837  0.0901  2 H 1.80-2.02
Pd  0.6837  0.2080  0.5901  2 H 1.80-2.02
Pd  0.3821  0.9757  0.7920  2 H 1.80-2.02
Pd  0.0935  0.1837  0.4757  2 H 1.80-2.02
Pd  0.8163  0.9099  0.2920  2 H 1.80-2.02
Pd  0.4065  0.0243  0.3163  2 H 1.80-2.02
Pd  0.4757  0.7920  0.8821  2 H 1.80-2.02
Pd  0.5901  0.7080  0.6837  2 H 1.80-2.02
Pd  0.8821  0.2920  0.4757  2 H 1.80-2.02
Pd  0.1837  0.0901  0.7080  2 H 1.80-2.02
Pd  0.7080  0.1179  0.0243  2 H 1.80-2.02
Pd  0.9757  0.5935  0.1837  2 H 1.80-2.02
Pd  0.4099  0.2920  0.3163  2 H 1.80-2.02
Pd  0.9065  0.0901  0.8821  2 H 1.80-2.02
Pd  0.8821  0.5901  0.9065  2 H 1.80-2.02
Pd  0.4757  0.6837  0.0935  2 H 1.80-2.02
Pd  0.5935  0.6179  0.4099  2 H 1.80-2.02
Pd  0.6179  0.5935  0.9099  2 H 1.80-2.02
Pd  0.5243  0.2080  0.1179  2 H 1.80-2.02
Pd  0.7920  0.4757  0.3821  2 H 1.80-2.02
Pd  0.2920  0.4099  0.8163  2 H 1.80-2.02
Pd  0.6179  0.0243  0.2080  2 H 1.80-2.02
Pd  0.3821  0.4065  0.0901  2 H 1.80-2.02
Pd  0.0901  0.9065  0.3821  2 H 1.80-2.02
Pd  0.5935  0.9757  0.6837  2 H 1.80-2.02
Pd  0.9757  0.3821  0.2920  2 H 1.80-2.02
Pd  0.6837  0.4757  0.5935  2 H 1.80-2.02
Pd  0.5243  0.3163  0.9065  2 H 1.80-2.02
Pd  0.0901  0.1837  0.2080  2 H 1.80-2.02
Pd  0.1837  0.0935  0.9757  2 H 1.80-2.02
Pd  0.9099  0.0935  0.6179  2 H 1.80-2.02
Pd  0.7080  0.5901  0.1837  2 H 1.80-2.02
Pd  0.0243  0.4065  0.8163  2 H 1.80-2.02
Pd  0.4065  0.3821  0.5901  2 H 1.80-2.02
Be  0.1250  0.8750  0.7500  8 Pd 2.39-2.42
Be  0.2500  0.6250  0.8750  8 Pd 2.39-2.42
Be  0.3750  0.6250  0.2500  8 Pd 2.39-2.42
Be  0.8750  0.7500  0.1250  8 Pd 2.39-2.42
Be  0.7500  0.8750  0.6250  8 Pd 2.39-2.42
Be  0.8750  0.1250  0.2500  8 Pd 2.39-2.42
Be  0.6250  0.2500  0.3750  8 Pd 2.39-2.42
Be  0.2500  0.1250  0.3750  8 Pd 2.39-2.42
Be  0.6250  0.3750  0.7500  8 Pd 2.39-2.42
Be  0.7500  0.3750  0.1250  8 Pd 2.39-2.42
Be  0.1250  0.2500  0.8750  8 Pd 2.39-2.42
Be  0.3750  0.7500  0.6250  8 Pd 2.39-2.42
H  0.1250  0.7500  0.3750  4 Pd 1.80
H  0.7500  0.6250  0.3750  4 Pd 1.80
H  0.0000  0.0000  0.0000  6 Pd 2.02
H  0.1250  0.3750  0.2500  4 Pd 1.80
H  0.0000  0.5000  0.0000  6 Pd 2.02
H  0.2500  0.8750  0.1250  4 Pd 1.80
H  0.2500  0.3750  0.6250  4 Pd 1.80
H  0.8750  0.6250  0.7500  4 Pd 1.80
H  0.0000  0.5000  0.5000  6 Pd 2.02
H  0.6250  0.7500  0.8750  4 Pd 1.80
H  0.3750  0.2500  0.1250  4 Pd 1.80
H  0.5000  0.5000  0.0000  6 Pd 2.02
H  0.6250  0.8750  0.2500  4 Pd 1.80
H  0.3750  0.1250  0.7500  4 Pd 1.80
H  0.5000  0.0000  0.0000  6 Pd 2.02
H  0.5000  0.0000  0.5000  6 Pd 2.02
H  0.8750  0.2500  0.6250  4 Pd 1.80
H  0.7500  0.1250  0.8750  4 Pd 1.80
H  0.5000  0.5000  0.5000  6 Pd 2.02
H  0.0000  0.0000  0.5000  6 Pd 2.02

**Uncorrected energy**: -377.763 eV for the cell shown
**Size of the total moment**: 0.000 μB per atom
**Space group**: Ia-3d

=====

The following is a GGA-PBE calculation of crystalline BeH2Pd3 at its relaxed geometry, from Alexandria.

Cell lengths 4.9963, 4.8327, 6.0151 Å; angles 85.87, 82.00, 58.87 degrees
With the nearest neighbours (Å) after each atom.
Atoms (fractional coordinates):
Pd  0.2494  0.0000  0.1556  1 H 1.66
Pd  0.5434  0.3296  0.3068  3 H 1.85-2.00
Pd  0.7506  0.0000  0.8444  1 H 1.66
Pd  0.8730  0.6704  0.3068  3 H 1.85-2.00
Pd  0.1270  0.3296  0.6932  3 H 1.85-2.00
Pd  0.4566  0.6704  0.6932  3 H 1.85-2.00
H  0.1956  0.6087  0.5000  4 Pd 1.85-2.00
H  0.8044  0.3913  0.5000  4 Pd 1.85-2.00
H  0.5000  0.0000  0.5000  4 Pd 1.99
H  0.0000  0.0000  0.0000  2 Pd 1.66
Be  0.7443  0.5114  0.0000  1 H 2.12, 4 Pd 2.31-2.34
Be  0.2557  0.4886  0.0000  1 H 2.12, 4 Pd 2.31-2.34

**Uncorrected energy**: -54.217 eV for the cell shown
**Size of the total moment**: 0.000 μB per atom
**Space group**: C2/m